1.
Below is a geometry-optimized NaTlC structure, with properties calculated at the GGA-PBE level.

a b c (Å): 3.5534 5.2845 7.7353
angles (deg): 90.00 102.81 90.00
Space group Pm (No. 6)
Inequivalent atoms, fractional coordinates:
Na  0.0000  0.0000  0.0000 (multiplicity 1)
Na  0.1248  0.5000  0.2601 (multiplicity 1)
Tl  0.2792  0.0000  0.5563 (multiplicity 1)
Tl  0.8483  0.5000  0.7095 (multiplicity 1)
C  0.5126  0.3796  0.0277 (multiplicity 2)

Properties
mass density = 5.613 g cm⁻³
uncorrected energy = -3.912 eV/atom

2.
Below is a geometry-optimized Na3YPb structure, with properties calculated at the GGA-PBE level.

a b c (Å): 5.7661 5.7661 5.7661
angles (deg): 90.00 90.00 90.00
Space group Pm-3m (No. 221)
Inequivalent atoms, fractional coordinates:
Na  0.0000  0.0000  0.5000 (multiplicity 3)
Y  0.5000  0.5000  0.5000 (multiplicity 1)
Pb  0.0000  0.0000  0.0000 (multiplicity 1)

Properties
mass density = 3.162 g cm⁻³
uncorrected energy = -2.350 eV/atom
relative energy among the computed polymorphs = 0.0000 eV/atom

- Which formula does entry 2 have?
  Na3YPb